## FeCuAu (PBE)

Data for a relaxed structure of FeCuAu.

Cell lengths 5.9498, 5.9506, 2.7512 Å; angles 76.62, 76.65, 26.73 degrees
Last column: nearest neighbours and their distance in Å.
Positions (direct):
Au  0.0004  0.0004  0.9996  4 Au 2.75, 4 Cu 2.77, 4 Fe 2.78
Cu  0.6759  0.6759  0.3241  4 Fe 2.56, 4 Cu 2.75, 4 Au 2.77
Fe  0.3237  0.3237  0.6763  4 Cu 2.56, 4 Fe 2.75, 4 Au 2.78

Computed properties:
Energy relative to the elements ... 0.122 eV per atom
Polymorph energy (0 for the lowest one) ... 0.01 eV per formula unit
Calculated density ... 12.343 g/cm³
Final energy ... -0.1895 Ha/atom